Density functional theory data (PBE-GGA) for AlP2Pb after structural relaxation.

a b c (Å): 8.584 8.584 8.584
angles (deg): 22.91 22.91 22.91
Element x y z (fractional)
Al: 0.268 0.268 0.268
P: 0.722 0.722 0.722
P: 0.006 0.006 0.006
Pb: 0.504 0.504 0.504

Computed properties:
Formation enthalpy at 0 K   0.17 eV/atom
Crystal system   trigonal

***

Density functional theory data (PBE-GGA) for La2NiRh after structural relaxation.

a b c (Å): 4.136 4.134 5.828
angles (deg): 90.00 90.00 90.00
Element x y z (fractional)
La: 0.000 0.000 0.875
La: 0.500 0.500 0.375
Ni: 0.000 0.000 0.374
Rh: 0.500 0.500 0.875

Computed properties:
Formation enthalpy at 0 K   -0.44 eV/atom
Crystal system   tetragonal

***

formation enthalpy at 0 K of number 2 (La2NiRh)? -0.44 eV/atom

***

formation enthalpy at 0 K of number 2 (La2NiRh)? -0.44 eV/atom

***

Which formula does entry 2 have? La2NiRh